1.
TbTm2In3Se6 PBE-GGA optimized geometry; space-group type = C2/m; electronic total energy = -4.851 eV/atom; ΔE_f (raw) = -124.8 kJ/mol of atoms
1.0
3.570 -6.182 0.000
3.570 6.182 0.000
-2.380 0.000 7.751
Tb Tm In Se
1 2 3 6
direct
0.000 0.000 0.000 Tb
0.333 0.667 0.000 Tm
0.667 0.333 0.000 Tm
0.166 0.834 0.500 In
0.500 0.500 0.500 In
0.834 0.166 0.500 In
0.069 0.407 0.207 Se
0.269 0.269 0.794 Se
0.407 0.069 0.207 Se
0.593 0.931 0.793 Se
0.731 0.731 0.206 Se
0.931 0.593 0.793 Se

2.
Tb2UIn3Se6 PBE-GGA optimized geometry; space-group type = C2/m; DOS(E_F) = 0.907 states/eV per atom; electronic total energy = -5.253 eV/atom; ΔE_f (raw) = -107.5 kJ/mol of atoms
1.0
3.609 -6.246 0.000
3.609 6.246 0.000
-2.402 0.000 7.777
Tb U In Se
2 1 3 6
direct
0.167 0.833 0.000 Tb
0.833 0.167 0.000 Tb
0.500 0.500 0.000 U
0.000 0.000 0.500 In
0.333 0.667 0.500 In
0.667 0.333 0.500 In
0.097 0.430 0.791 Se
0.236 0.236 0.209 Se
0.430 0.097 0.791 Se
0.570 0.903 0.209 Se
0.764 0.764 0.791 Se
0.903 0.570 0.209 Se

3.
TbU3In3Se8 PBE-GGA optimized geometry; space-group type = R-3m; DOS(E_F) = 1.043 states/eV per atom; electronic total energy = -5.979 eV/atom; ΔE_f (raw) = -97.1 kJ/mol of atoms
1.0
4.130 2.385 7.802
-4.130 2.385 7.802
0.000 -4.769 7.802
Tb U In Se
1 3 3 8
direct
0.000 0.000 0.000 Tb
0.000 0.500 0.500 U
0.500 0.000 0.500 U
0.500 0.500 0.000 U
0.000 0.000 0.500 In
0.000 0.500 0.000 In
0.500 0.000 0.000 In
0.237 0.237 0.734 Se
0.237 0.734 0.237 Se
0.263 0.263 0.263 Se
0.266 0.763 0.763 Se
0.734 0.237 0.237 Se
0.737 0.737 0.737 Se
0.763 0.266 0.763 Se
0.763 0.763 0.266 Se

4.
Tb2YIn3Se6 PBE-GGA optimized geometry; space-group type = C2/m; electronic total energy = -5.043 eV/atom; ΔE_f (raw) = -126.0 kJ/mol of atoms
1.0
3.604 -6.242 0.000
3.604 6.242 0.000
-2.404 0.000 7.745
Tb Y In Se
2 1 3 6
direct
0.167 0.833 0.000 Tb
0.833 0.167 0.000 Tb
0.500 0.500 0.000 Y
0.000 0.000 0.500 In
0.333 0.667 0.500 In
0.667 0.333 0.500 In
0.098 0.430 0.791 Se
0.237 0.237 0.209 Se
0.430 0.098 0.791 Se
0.570 0.902 0.209 Se
0.763 0.763 0.791 Se
0.902 0.570 0.209 Se

5.
Tb3ZrIn3Se8 PBE-GGA optimized geometry; space-group type = R-3m; DOS(E_F) = 0.009 states/eV per atom; electronic total energy = -5.215 eV/atom; ΔE_f (raw) = -126.7 kJ/mol of atoms
1.0
4.084 2.358 7.751
-4.084 2.358 7.751
0.000 -4.716 7.751
Tb Zr In Se
3 1 3 8
direct
0.000 0.500 0.500 Tb
0.500 0.000 0.500 Tb
0.500 0.500 0.000 Tb
0.000 0.000 0.000 Zr
0.000 0.000 0.500 In
0.000 0.500 0.000 In
0.500 0.000 0.000 In
0.227 0.227 0.751 Se
0.227 0.751 0.227 Se
0.249 0.773 0.773 Se
0.263 0.263 0.263 Se
0.737 0.737 0.737 Se
0.751 0.227 0.227 Se
0.773 0.249 0.773 Se
0.773 0.773 0.249 Se

6.
InTcSe2 PBE-GGA optimized geometry; space-group type = Immm; DOS(E_F) = 1.039 states/eV per atom; electronic total energy = -5.022 eV/atom; ΔE_f (raw) = -0.3 kJ/mol of atoms
1.0
-1.573 2.343 5.927
1.573 -2.343 5.927
1.573 2.343 -5.927
In Tc Se
1 1 2
direct
0.000 0.000 0.000 In
0.500 0.500 0.000 Tc
0.330 0.830 0.500 Se
0.670 0.170 0.500 Se

7.
InTcSe2 PBE-GGA optimized geometry; space-group type = Imm2; DOS(E_F) = 0.583 states/eV per atom; electronic total energy = -5.122 eV/atom; ΔE_f (raw) = -10.0 kJ/mol of atoms
1.0
-1.563 1.575 9.039
1.563 -1.575 9.039
1.563 1.575 -9.039
In Tc Se
1 1 2
direct
0.000 0.000 0.000 In
0.756 0.256 0.500 Tc
0.329 0.829 0.500 Se
0.650 0.650 0.000 Se

8.
InTc3Se PBE-GGA optimized geometry; space-group type = Pm-3m; DOS(E_F) = 1.281 states/eV per atom; offset from the most stable computed form = 1596 meV/atom; electronic total energy = -5.006 eV/atom; ΔE_f (raw) = 237.2 kJ/mol of atoms
1.0
4.870 0.000 0.000
0.000 4.870 0.000
0.000 0.000 4.870
In Tc Se
1 3 1
direct
0.000 0.000 0.000 In
0.000 0.000 0.500 Tc
0.000 0.500 0.000 Tc
0.500 0.000 0.000 Tc
0.500 0.500 0.500 Se

9.
InTcSe PBE-GGA optimized geometry; space-group type = P3m1; DOS(E_F) = 0.743 states/eV per atom; offset from the most stable computed form = 0 meV/atom; electronic total energy = -5.554 eV/atom; ΔE_f (raw) = -2.4 kJ/mol of atoms
1.0
3.275 0.000 0.000
-1.638 2.836 0.000
0.000 0.000 6.315
In Tc Se
1 1 1
direct
0.000 0.000 0.000 In
0.667 0.333 0.660 Tc
0.333 0.667 0.409 Se

10.
InTcSe2 PBE-GGA optimized geometry; space-group type = Pm; DOS(E_F) = 0.764 states/eV per atom; electronic total energy = -5.021 eV/atom; ΔE_f (raw) = -0.2 kJ/mol of atoms
1.0
4.602 0.000 0.000
0.000 3.101 0.000
-2.269 0.000 6.514
In Tc Se
1 1 2
direct
0.000 0.000 0.000 In
0.528 0.500 0.057 Tc
0.335 0.500 0.672 Se
0.671 0.000 0.345 Se

11.
InTcSe2 PBE-GGA optimized geometry; space-group type = Cm; DOS(E_F) = 0.917 states/eV per atom; electronic total energy = -5.093 eV/atom; ΔE_f (raw) = -7.2 kJ/mol of atoms
1.0
5.214 -1.583 0.000
5.214 1.583 0.000
-2.703 0.000 5.693
In Tc Se
1 1 2
direct
0.000 0.000 0.000 In
0.264 0.264 0.949 Tc
0.600 0.600 0.659 Se
0.775 0.775 0.266 Se

12.
InTc4Se PBE-GGA optimized geometry; space-group type = F-43m; DOS(E_F) = 1.028 states/eV per atom; electronic total energy = -7.403 eV/atom; ΔE_f (raw) = 52.6 kJ/mol of atoms
1.0
0.000 3.705 3.705
3.705 0.000 3.705
3.705 3.705 0.000
In Tc Se
1 4 1
direct
0.000 0.000 0.000 In
0.376 0.376 0.376 Tc
0.376 0.376 0.871 Tc
0.376 0.871 0.376 Tc
0.871 0.376 0.376 Tc
0.750 0.750 0.750 Se